(1)
An optimized crystal structure of La3Au4. Source: Alexandria via LeMat-Bulk, functional PBE.

POSCAR file:
```
La3Au4
1.0
6.095 0.000 -1.592
-3.065 7.080 -3.424
0.035 0.000 8.440
La Au
6 8
Direct
0.482 0.255 0.382
0.773 0.873 0.255
0.227 0.127 0.745
0.901 0.382 0.127
0.099 0.618 0.873
0.518 0.745 0.618
0.431 0.492 0.162
0.500 0.000 0.000
0.569 0.508 0.838
0.731 0.162 0.670
0.939 0.670 0.508
0.000 0.000 0.000
0.061 0.330 0.492
0.269 0.838 0.330
```

Values from the calculation:
The calculation puts the formation enthalpy at 0 K at -0.8407 eV per atom. The space group is R-3 (148). The value obtained for the spin magnetization is 0.0 μB/cell. The total energy is -67.55 eV per cell.

---

(2)
An optimized crystal structure of DyBe17W. Source: Alexandria via LeMat-Bulk, functional PBE.

POSCAR file:
```
DyBe17W
1.0
5.600 0.013 0.675
0.600 5.568 0.675
0.014 0.013 5.641
Be W Dy
17 1 1
Direct
0.708 0.286 0.005
0.102 0.102 0.102
0.340 0.340 0.844
0.005 0.286 0.708
0.909 0.909 0.909
0.498 0.003 0.003
0.651 0.164 0.651
0.286 0.005 0.708
0.286 0.708 0.005
0.005 0.708 0.286
0.340 0.844 0.340
0.844 0.340 0.340
0.003 0.003 0.498
0.164 0.651 0.651
0.651 0.651 0.164
0.708 0.005 0.286
0.003 0.498 0.003
0.337 0.337 0.337
0.661 0.661 0.661
```

Values from the calculation:
The calculation puts the formation enthalpy at 0 K at -0.1079 eV per atom. The space group is R3m (160). The value obtained for the spin magnetization is 0.0 μB/cell. The total energy is -82.95 eV per cell.

---

Question: Among the records above, which one has the lowest formation enthalpy at 0 K?
Answer: La3Au4

---

Repeat the second record exactly.
An optimized crystal structure of DyBe17W. Source: Alexandria via LeMat-Bulk, functional PBE.

POSCAR file:
```
DyBe17W
1.0
5.600 0.013 0.675
0.600 5.568 0.675
0.014 0.013 5.641
Be W Dy
17 1 1
Direct
0.708 0.286 0.005
0.102 0.102 0.102
0.340 0.340 0.844
0.005 0.286 0.708
0.909 0.909 0.909
0.498 0.003 0.003
0.651 0.164 0.651
0.286 0.005 0.708
0.286 0.708 0.005
0.005 0.708 0.286
0.340 0.844 0.340
0.844 0.340 0.340
0.003 0.003 0.498
0.164 0.651 0.651
0.651 0.651 0.164
0.708 0.005 0.286
0.003 0.498 0.003
0.337 0.337 0.337
0.661 0.661 0.661
```

Values from the calculation:
The calculation puts the formation enthalpy at 0 K at -0.1079 eV per atom. The space group is R3m (160). The value obtained for the spin magnetization is 0.0 μB/cell. The total energy is -82.95 eV per cell.

---

Question: The highest formation enthalpy at 0 K belongs to which entry?
Answer: DyBe17W

---

Question: Among the records above, which one has the lowest formation enthalpy at 0 K?
Answer: La3Au4